Material: PuUFeO6
Method: DFT, PBE with a Hubbard U
State: optimized geometry

## Properties
Final energy   -9.415 eV per atom
DOS(E_F)   19.0 states/eV per cell
Symmetry   No. 163
Total magnetization   0.00 μB/f.u.
Volume   124.7 Å³/f.u.

Unit cell a=5.4109 b=5.4109 c=9.8386 alpha=90.00 beta=90.00 gamma=120.00
Closest atoms and distances in Å follow each position.
Fractional positions:
U: 0.3333 0.6667 0.7500  6 O 2.12
U: 0.6667 0.3333 0.2500  6 O 2.12
Fe: 0.6667 0.3333 0.7500  6 O 2.07
Fe: 0.3333 0.6667 0.2500  6 O 2.07
Pu: 0.0000 0.0000 0.0000  6 O 2.30
Pu: 0.0000 0.0000 0.5000  6 O 2.30
O: 0.3428 0.9932 0.1362  1 Fe 2.07, 1 U 2.12, 1 Pu 2.30
O: 0.3496 0.3428 0.8638  1 Fe 2.07, 1 U 2.12, 1 Pu 2.30
O: 0.9932 0.3428 0.6362  1 Fe 2.07, 1 U 2.12, 1 Pu 2.30
O: 0.6504 0.6572 0.1362  1 Fe 2.07, 1 U 2.12, 1 Pu 2.30
O: 0.3428 0.3496 0.3638  1 Fe 2.07, 1 U 2.12, 1 Pu 2.30
O: 0.0068 0.6572 0.3638  1 Fe 2.07, 1 U 2.12, 1 Pu 2.30
O: 0.0068 0.3496 0.1362  1 Fe 2.07, 1 U 2.12, 1 Pu 2.30
O: 0.6572 0.0068 0.8638  1 Fe 2.07, 1 U 2.12, 1 Pu 2.30
O: 0.9932 0.6504 0.8638  1 Fe 2.07, 1 U 2.12, 1 Pu 2.30
O: 0.3496 0.0068 0.6362  1 Fe 2.07, 1 U 2.12, 1 Pu 2.30
O: 0.6504 0.9932 0.3638  1 Fe 2.07, 1 U 2.12, 1 Pu 2.30
O: 0.6572 0.6504 0.6362  1 Fe 2.07, 1 U 2.12, 1 Pu 2.30